Crystalline TcP2BrO at its relaxed geometry. Source: Alexandria, functional GGA-PBE.

Lattice parameters (Å, degrees): 4.800 4.800 3.772 90.00 90.00 90.00
Space group P4/mmm (No. 123)
Symmetry-distinct sites (fractional):
1 Tc 0.000 0.000 0.000
2 P 0.000 0.500 0.000
3 Br 0.500 0.500 0.500
4 O 0.000 0.000 0.500

Calculated values
Fermi-level density of states (states/eV/atom): 0.78
E_form (uncorrected) (eV per atom): -0.004
Final energy (eV/atom): -5.57
Energy above the lowest structure with this stoichiometry (eV/atom): 0.000